A relaxed structure of YCr2P, computed with PBEsol.

Cell lengths 3.8078, 3.8078, 4.0321 Å; angles 90.00, 90.00, 90.00 degrees
Last column: nearest neighbours and their distance in Å.
Space group P4/mmm (No. 123)
Asymmetric unit:
Y (0.0000, 0.0000, 0.0000) x1  4 P 2.69, 8 Cr 2.77
Cr (0.0000, 0.5000, 0.5000) x2  4 Cr 2.69, 4 P 2.77, 4 Y 2.77
P (0.5000, 0.5000, 0.0000) x1  4 Y 2.69, 8 Cr 2.77

Summary:
As for the formation enthalpy at 0 K: 214 meV/atom. The total magnetization comes out at 0.00 μB/cell. The total energy is -8.061 eV/atom.